1.
Density functional theory data (PBE) for crystalline YIn6Ni6 at its relaxed geometry.

Geometry as extended XYZ:
```
13
Lattice="-2.655 4.489 4.613 2.655 -4.489 4.613 2.655 4.489 -4.613" Properties=species:S:1:pos:R:3 pbc="T T T"
Y 0.000 0.000 0.000
In 2.655 0.000 1.647
In 0.000 2.976 0.000
In 0.000 0.000 3.149
In 0.000 0.000 6.076
In 0.000 6.003 0.000
In 0.000 4.489 2.966
Ni 1.328 2.245 -2.306
Ni 1.328 -2.245 2.306
Ni 2.655 2.134 0.000
Ni -1.328 2.245 2.306
Ni 1.328 2.245 2.306
Ni 0.000 2.355 4.613
```

---

2.
Density functional theory data (PBE) for crystalline Y2InNi at its relaxed geometry.

Geometry as extended XYZ:
```
4
Lattice="-1.722 2.481 5.482 1.722 -2.481 5.482 1.722 2.481 -5.482" Properties=species:S:1:pos:R:3 pbc="T T T"
Y 0.000 0.000 0.000
Y 0.000 2.481 2.215
In 1.722 0.000 3.281
Ni 0.000 0.000 5.398
```

---

3.
Density functional theory data (PBE) for crystalline YInNi2 at its relaxed geometry.

Geometry as extended XYZ:
```
8
Lattice="2.126 -5.579 0.000 2.126 5.579 0.000 0.000 0.000 6.112" Properties=species:S:1:pos:R:3 pbc="T T T"
Y 2.126 4.763 4.584
Y 2.126 -4.763 1.528
In 2.126 3.176 1.528
In 2.126 -3.176 4.584
Ni 2.126 1.152 3.406
Ni 2.126 1.152 5.762
Ni 2.126 -1.152 0.350
Ni 2.126 -1.152 2.706
```

---

4.
Density functional theory data (PBE) for crystalline Y2In8Ni at its relaxed geometry.

Geometry as extended XYZ:
```
11
Lattice="4.638 0.000 0.000 0.000 4.638 0.000 0.000 0.000 12.130" Properties=species:S:1:pos:R:3 pbc="T T T"
Y 0.000 0.000 2.331
Y 0.000 0.000 9.799
In 0.000 2.319 0.000
In 0.000 2.319 4.595
In 0.000 2.319 7.536
In 2.319 0.000 0.000
In 2.319 0.000 4.595
In 2.319 0.000 7.536
In 2.319 2.319 2.340
In 2.319 2.319 9.790
Ni 0.000 0.000 6.065
```

---

5.
Density functional theory data (PBE) for crystalline Y6In3Ni at its relaxed geometry.

Geometry as extended XYZ:
```
20
Lattice="9.155 0.000 0.000 0.000 11.366 0.000 0.000 0.000 5.234" Properties=species:S:1:pos:R:3 pbc="T T T"
Y 0.096 2.614 0.000
Y 1.470 0.881 2.617
Y 1.640 4.677 2.617
Y 2.938 10.360 0.000
Y 3.108 6.564 0.000
Y 4.481 8.297 2.617
Y 4.674 3.069 2.617
Y 6.047 4.802 0.000
Y 6.217 1.006 0.000
Y 7.515 6.689 2.617
Y 7.685 10.485 2.617
Y 9.058 8.752 0.000
In 0.000 5.683 0.000
In 1.437 8.371 2.617
In 3.140 2.688 0.000
In 4.577 0.000 2.617
In 6.014 8.678 0.000
In 7.718 2.995 2.617
Ni 0.000 0.000 0.000
Ni 4.577 5.683 2.617
```

---

6.
Density functional theory data (PBE) for crystalline Y12InNi6 at its relaxed geometry.

Geometry as extended XYZ:
```
19
Lattice="-4.877 4.877 4.877 4.877 -4.877 4.877 4.877 4.877 -4.877" Properties=species:S:1:pos:R:3 pbc="T T T"
Y 4.877 3.049 -1.925
Y 2.952 0.000 1.829
Y 6.803 0.000 1.829
Y 1.829 2.952 0.000
Y 3.049 -1.925 4.877
Y 0.000 1.829 2.952
Y 4.877 3.049 1.925
Y 1.829 6.803 0.000
Y 3.049 1.925 4.877
Y -1.925 4.877 3.049
Y 1.925 4.877 3.049
Y 0.000 1.829 6.803
In 0.000 0.000 0.000
Ni 4.877 1.190 0.000
Ni 4.877 0.000 3.687
Ni 3.687 4.877 0.000
Ni 1.190 0.000 4.877
Ni 0.000 4.877 1.190
Ni 0.000 3.687 4.877
```

---

7.
Density functional theory data (PBE) for crystalline YIn2Ni9 at its relaxed geometry.

Geometry as extended XYZ:
```
12
Lattice="2.460 1.420 7.892 -2.460 1.420 7.892 0.000 -2.841 7.892" Properties=species:S:1:pos:R:3 pbc="T T T"
Y 0.000 0.000 0.000
In 0.000 0.000 3.321
In 0.000 0.000 20.356
Ni -1.241 -0.717 9.878
Ni 0.000 0.000 7.904
Ni 0.000 -1.433 13.799
Ni -1.241 0.717 13.799
Ni 0.000 0.000 11.839
Ni 1.241 -0.717 9.878
Ni 0.000 1.433 9.878
Ni 0.000 0.000 15.773
Ni 1.241 0.717 13.799
```

Properties
* E above lowest polymorph: 13 meV/atom

---

8.
Density functional theory data (PBE) for crystalline Y2InNi at its relaxed geometry.

Geometry as extended XYZ:
```
8
Lattice="1.684 -5.993 0.000 1.684 5.993 0.000 0.000 0.000 9.551" Properties=species:S:1:pos:R:3 pbc="T T T"
Y 1.684 4.519 5.525
Y 1.684 4.519 8.800
Y 1.684 -4.519 0.750
Y 1.684 -4.519 4.025
In 1.684 3.841 2.388
In 1.684 -3.841 7.163
Ni 1.684 0.059 7.163
Ni 1.684 -0.059 2.388
```

---

9.
Density functional theory data (PBE) for crystalline Y2Zn3InNi12 at its relaxed geometry.

Geometry as extended XYZ:
```
18
Lattice="3.070 1.773 8.593 -3.070 1.773 8.593 0.000 -3.545 8.593" Properties=species:S:1:pos:R:3 pbc="T T T"
Y 0.000 0.000 3.573
Y 0.000 0.000 22.208
Zn -1.535 -0.886 8.593
Zn -1.535 0.886 17.187
Zn 0.000 1.773 8.593
In 0.000 0.000 12.890
Ni -1.823 -1.052 11.183
Ni 0.000 -2.193 7.445
Ni -1.900 1.097 7.445
Ni -1.900 -1.097 18.335
Ni 0.000 -2.105 14.597
Ni -1.823 1.052 14.597
Ni 1.823 -1.052 11.183
Ni 0.000 2.105 11.183
Ni 1.900 1.097 7.445
Ni 1.900 -1.097 18.335
Ni 0.000 2.193 18.335
Ni 1.823 1.052 14.597
```

---

10.
Density functional theory data (PBE) for crystalline YZnInNi at its relaxed geometry.

Geometry as extended XYZ:
```
4
Lattice="0.000 3.336 3.336 3.336 0.000 3.336 3.336 3.336 0.000" Properties=species:S:1:pos:R:3 pbc="T T T"
Y 0.000 0.000 0.000
Zn 5.004 5.004 5.004
In 3.336 3.336 3.336
Ni 1.668 1.668 1.668
```

---

11.
Density functional theory data (PBE) for crystalline YZrInNi2 at its relaxed geometry.

Geometry as extended XYZ:
```
5
Lattice="4.611 0.000 0.000 0.000 4.611 0.000 0.000 0.000 5.518" Properties=species:S:1:pos:R:3 pbc="T T T"
Y 0.000 0.000 0.000
Zr 2.305 2.305 2.759
In 0.000 0.000 2.759
Ni 0.000 2.305 0.000
Ni 2.305 0.000 0.000
```

---

12.
Density functional theory data (PBE) for crystalline ZnIn2Ni2 at its relaxed geometry.

Geometry as extended XYZ:
```
5
Lattice="-2.072 2.072 5.477 2.072 -2.072 5.477 2.072 2.072 -5.477" Properties=species:S:1:pos:R:3 pbc="T T T"
Zn 0.000 0.000 0.000
In 2.072 0.000 2.739
In 0.000 2.072 2.739
Ni 0.000 0.000 4.351
Ni 0.000 0.000 6.604
```

---

Computed values of energy of formation (unit: eV per atom) for the preceding records, in sequence: -0.222, -0.324, -0.351, -0.338, -0.329, -0.361, -0.205, -0.197, 0.058, -0.346, 0.945, 0.294.
Computed values of total energy (unit: Ha/atom) for the preceding records, in sequence: -0.171, -0.209, -0.204, -0.148, -0.206, -0.236, -0.203, -0.204, -0.179, -0.162, -0.181, -0.124.
Computed values of spin magnetization (unit: μB per formula unit) for the preceding records, in sequence: 0.0, 0.0, 0.0, 0.0, 0.0, 0.0, 2.1, 0.0, 0.0, 0.0, 0.0, 0.0.